Material: AlZn2Ag2
Method: DFT, PBE
State: relaxed

```
data_AlZn2Ag2
_chemical_formula_sum 'Al2 Zn4 Ag4'
_space_group_name_H-M_alt 'P 1'
_space_group_IT_number 1
_cell_length_a 7.763
_cell_length_b 7.763
_cell_length_c 2.853
_cell_angle_alpha 90.00
_cell_angle_beta 90.00
_cell_angle_gamma 90.00
loop_
_space_group_symop_operation_xyz
'x,y,z'
loop_
_atom_site_label
_atom_site_type_symbol
_atom_site_fract_x
_atom_site_fract_y
_atom_site_fract_z
Al1 Al 0.000 0.000 0.000
Al2 Al 0.500 0.500 0.000
Zn1 Zn 0.118 0.382 0.000
Zn2 Zn 0.382 0.882 0.000
Zn3 Zn 0.618 0.118 0.000
Zn4 Zn 0.882 0.618 0.000
Ag1 Ag 0.180 0.680 0.500
Ag2 Ag 0.320 0.180 0.500
Ag3 Ag 0.680 0.820 0.500
Ag4 Ag 0.820 0.320 0.500
```

SG ... No. 127
Energy of formation ... 73 meV per atom
M_tot ... 0.00 μB per formula unit
Calculated density ... 7.21 g/cm³
Excess energy over the best structure of this formula in the dataset ... 109 meV/atom